Entry 1:
Computed, not measured: an optimized crystal structure of NiMoOs at the PBE level of DFT.

Calculated values
**DOS at the Fermi energy**: 2.4 states/eV/f.u.
**Spin magnetization**: 0.00 μB per cell
**Energy relative to the elements**: 0.14 eV/f.u.
**Mass density**: 13.868 g/cm3
**Crystal system**: monoclinic

Lattice parameters (Å, degrees): 8.6137 3.7823 5.3745 90.00 109.39 90.00
Last column: nearest neighbours and their distance in Å.
Space group Cm (No. 8)
Unique sites:
Ni (0.0000, 0.0000, 0.0000)  5 Os 2.64-2.71, 5 Mo 2.67-2.71, 2 Ni 2.69
Ni (0.1700, 0.5000, 0.3380)  6 Mo 2.67-2.77, 4 Os 2.68-2.69, 2 Ni 2.69
Mo (0.0076, 0.0000, 0.5038)  5 Os 2.66-2.71, 5 Ni 2.67-2.74, 2 Mo 2.73
Mo (0.3287, 0.0000, 0.1618)  4 Os 2.63-2.69, 6 Ni 2.67-2.77, 2 Mo 2.73
Os (0.1704, 0.5000, 0.8373)  4 Mo 2.63-2.66, 3 Os 2.67-2.73, 5 Ni 2.68-2.71
Os (0.3415, 0.0000, 0.6694)  4 Ni 2.64-2.68, 3 Os 2.67-2.73, 5 Mo 2.68-2.71

---

Entry 2:
Computed, not measured: an optimized crystal structure of Ni2MoOs2 at the PBE level of DFT.

Calculated values
**DOS at the Fermi energy**: 5.5 states/eV/f.u.
**Spin magnetization**: 0.00 μB per cell
**Energy relative to the elements**: 1.23 eV/f.u.
**Mass density**: 14.743 g/cm3
**Crystal system**: tetragonal

Lattice parameters (Å, degrees): 6.9417 6.9417 2.7759 90.00 90.00 90.00
Last column: nearest neighbours and their distance in Å.
Space group P4/mbm (No. 127)
Unique sites:
Ni (0.1210, 0.3790, 0.0000)  1 Ni 2.38, 6 Os 2.44-2.51
Mo (0.0000, 0.0000, 0.0000)  4 Ni 2.76, 2 Mo 2.78, 8 Os 2.91
Os (0.1751, 0.6751, 0.5000)  6 Ni 2.44-2.51

---

Entry 3:
Computed, not measured: an optimized crystal structure of NiMoOs at the PBE level of DFT.

Calculated values
**DOS at the Fermi energy**: 2.6 states/eV/f.u.
**Spin magnetization**: 0.00 μB per cell
**Energy relative to the elements**: 0.11 eV/f.u.
**Mass density**: 13.781 g/cm3
**Crystal system**: monoclinic

Lattice parameters (Å, degrees): 13.0614 2.7266 4.7081 90.00 97.53 90.00
Last column: nearest neighbours and their distance in Å.
Space group Cm (No. 8)
Unique sites:
Ni (0.0000, 0.0000, 0.0000)  3 Mo 2.61-2.69, 5 Os 2.63-2.81, 4 Ni 2.65-2.73
Ni (0.1629, 0.5000, 0.8803)  2 Os 2.57-2.74, 4 Ni 2.65-2.73, 6 Mo 2.65-2.77
Mo (0.1673, 0.0000, 0.3687)  5 Ni 2.61-2.77, 4 Os 2.68-2.78, 3 Mo 2.70-2.73
Mo (0.3295, 0.0000, 0.7868)  4 Ni 2.65-2.69, 5 Os 2.67-2.78, 3 Mo 2.70-2.73
Os (0.3369, 0.5000, 0.2761)  4 Os 2.63-2.73, 2 Ni 2.64-2.74, 6 Mo 2.67-2.78
Os (0.4974, 0.0000, 0.5202)  5 Ni 2.57-2.81, 4 Os 2.63-2.73, 3 Mo 2.67-2.78

---

- Look up the spin magnetization of the second one.
  0.00 μB per cell

---

- The highest energy relative to the elements belongs to which entry?
  Ni2MoOs2